A plane-wave DFT calculation with PBE-GGA was carried out for a geometry-optimized La4CoCuBr2 structure.

Properties
Final energy: -40.4 eV for the cell shown
SG: No. 10
Formation energy without anion corrections: -590 kJ/mol of formula units

```
La4CoCuBr2
1.0
4.2601 0.0000 0.0000
0.0000 7.1247 0.1698
0.0000 -2.4558 7.7743
La Co Cu Br
4 1 1 2
direct
0.5000 0.2597 0.1964
0.0000 0.7287 0.1974
0.0000 0.2713 0.8026
0.5000 0.7403 0.8036
0.5000 0.5000 0.0000
0.0000 0.0000 0.0000
0.0000 0.5000 0.5000
0.5000 0.0000 0.5000
```